No. 1
{
  "formula": "Nd5Sn2Pd",
  "functional": "PBE",
  "state": "optimized geometry",
  "lattice_angstrom": [[-1.896, 4.862, -4.884], [-5.679, -3.971, -1.748], [1.330, 1.709, 6.414]],
  "species": ["Nd", "Nd", "Nd", "Nd", "Nd", "Sn", "Sn", "Pd"],
  "fractional_positions": [[0.725, 0.232, 0.957], [0.232, 0.232, 0.957], [0.725, 0.725, 0.957], [0.232, 0.725, 0.957], [0.742, 0.742, 0.483], [0.229, 0.729, 0.458], [0.729, 0.229, 0.458], [0.163, 0.163, 0.327]],
  "m_tot_mub_per_atom": 0.00,
  "space_group": "No. 107",
  "ef_ev_per_atom": -0.476
}

No. 2
{
  "formula": "Y2MnCdC",
  "functional": "PBE",
  "state": "optimized geometry",
  "lattice_angstrom": [[5.043, 0.000, 0.000], [0.000, 5.043, 0.000], [0.000, 0.000, 3.777]],
  "species": ["Y", "Y", "C", "Mn", "Cd"],
  "fractional_positions": [[0.000, 0.500, 0.000], [0.500, 0.000, 0.000], [0.000, 0.000, 0.000], [0.000, 0.000, 0.500], [0.500, 0.500, 0.500]],
  "m_tot_mub_per_atom": 0.00,
  "space_group": "No. 123",
  "ef_ev_per_atom": -0.261
}

No. 3
{
  "formula": "Li4Tm3ScTe8",
  "functional": "PBE",
  "state": "optimized geometry",
  "lattice_angstrom": [[8.535, 0.000, 0.000], [0.000, 8.585, 0.026], [-4.267, -4.263, 6.038]],
  "species": ["Li", "Li", "Li", "Li", "Tm", "Tm", "Tm", "Sc", "Te", "Te", "Te", "Te", "Te", "Te", "Te", "Te"],
  "fractional_positions": [[0.500, 0.000, 0.000], [0.500, 0.000, 0.500], [0.000, 0.000, 0.000], [0.000, 0.000, 0.500], [0.500, 0.500, 0.000], [0.500, 0.500, 0.500], [0.000, 0.500, 0.500], [0.000, 0.500, 0.000], [0.246, 0.749, 0.003], [0.246, 0.749, 0.492], [0.249, 0.246, 0.497], [0.757, 0.749, 0.003], [0.243, 0.251, 0.997], [0.751, 0.754, 0.503], [0.754, 0.251, 0.508], [0.754, 0.251, 0.997]],
  "m_tot_mub_per_atom": 0.00,
  "space_group": "No. 166",
  "formation_energy_uncorrected_ev_per_fu": -19.92
}

No. 4
{
  "formula": "Ga2AsPd8",
  "functional": "PBE",
  "state": "optimized geometry",
  "lattice_angstrom": [[-3.231, 2.582, -0.492], [-3.211, -4.335, -1.666], [0.873, -0.776, 7.821]],
  "species": ["Ga", "Ga", "As", "Pd", "Pd", "Pd", "Pd", "Pd", "Pd", "Pd", "Pd"],
  "fractional_positions": [[0.817, 0.284, 0.634], [0.183, 0.716, 0.366], [0.500, 0.000, 0.000], [0.401, 0.556, 0.803], [0.657, 0.964, 0.315], [0.791, 0.697, 0.583], [0.977, 0.234, 0.953], [0.209, 0.303, 0.417], [0.343, 0.036, 0.685], [0.599, 0.444, 0.197], [0.023, 0.766, 0.047]],
  "m_tot_mub_per_atom": 0.00,
  "space_group": "No. 12",
  "ef_ev_per_atom": -0.465
}

No. 5
{
  "formula": "BaGeAu2",
  "functional": "PBE",
  "state": "optimized geometry",
  "lattice_angstrom": [[4.866, 0.000, 0.000], [0.000, 4.800, 1.828], [0.000, 0.147, 5.134]],
  "species": ["Ba", "Ge", "Au", "Au"],
  "fractional_positions": [[0.000, 0.054, 0.946], [0.500, 0.554, 0.446], [0.500, 0.554, 0.946], [0.500, 0.054, 0.446]],
  "m_tot_mub_per_atom": 0.00,
  "space_group": "No. 65",
  "ef_ev_per_atom": -0.461
}

No. 6
{
  "formula": "CsZnBr3",
  "functional": "PBE",
  "state": "optimized geometry",
  "lattice_angstrom": [[5.951, -0.038, -0.029], [0.101, 8.151, -0.278], [0.101, 1.781, 7.972]],
  "species": ["Cs", "Cs", "Zn", "Zn", "Br", "Br", "Br", "Br", "Br", "Br"],
  "fractional_positions": [[0.004, 0.137, 0.576], [0.481, 0.767, 0.206], [0.743, 0.615, 0.729], [0.742, 0.289, 0.053], [0.526, 0.348, 0.787], [0.959, 0.556, 0.996], [0.511, 0.281, 0.295], [0.511, 0.857, 0.722], [0.974, 0.047, 0.060], [0.974, 0.623, 0.487]],
  "m_tot_mub_per_atom": 0.00,
  "space_group": "No. 2",
  "formation_energy_uncorrected_ev_per_fu": -6.46
}

No. 7
{
  "formula": "MgVReTe2",
  "functional": "PBE",
  "state": "optimized geometry",
  "lattice_angstrom": [[-2.549, -0.892, -4.431], [1.927, -4.349, -0.233], [-4.002, -1.918, 2.689]],
  "species": ["Re", "Mg", "Te", "Te", "V"],
  "fractional_positions": [[0.500, 0.500, 0.500], [0.000, 0.000, 0.000], [0.000, 0.000, 0.500], [0.500, 0.000, 0.000], [0.000, 0.500, 0.000]],
  "m_tot_mub_per_atom": 1.21,
  "space_group": "No. 123",
  "formation_energy_uncorrected_ev_per_fu": 8.95
}

No. 8
{
  "formula": "Sr2Hg3Au6",
  "functional": "PBE",
  "state": "optimized geometry",
  "lattice_angstrom": [[-3.011, -1.559, -2.959], [4.893, 2.082, -6.076], [2.206, -7.569, 1.743]],
  "species": ["Sr", "Sr", "Hg", "Hg", "Hg", "Au", "Au", "Au", "Au", "Au", "Au"],
  "fractional_positions": [[0.000, 0.327, 0.673], [0.000, 0.673, 0.327], [0.000, 0.197, 0.197], [0.000, 0.803, 0.803], [0.500, 0.000, 0.000], [0.500, 0.366, 0.366], [0.500, 0.634, 0.634], [0.500, 0.971, 0.332], [0.500, 0.029, 0.668], [0.500, 0.332, 0.971], [0.500, 0.668, 0.029]],
  "m_tot_mub_per_atom": 0.00,
  "space_group": "No. 65",
  "ef_ev_per_atom": -0.334
}

No. 9
{
  "formula": "FeTc2As",
  "functional": "PBE",
  "state": "optimized geometry",
  "lattice_angstrom": [[-0.222, -1.207, 3.701], [2.796, 0.124, 0.208], [1.385, 5.017, 1.719]],
  "species": ["As", "Fe", "Tc", "Tc"],
  "fractional_positions": [[0.500, 0.250, 0.250], [0.500, 0.750, 0.750], [0.000, 0.131, 0.994], [0.000, 0.369, 0.506]],
  "m_tot_mub_per_atom": 0.46,
  "space_group": "No. 10",
  "ef_ev_per_atom": 0.161,
  "polymorph_energy_ev_per_atom": 0.1515
}

No. 10
{
  "formula": "CrFeI",
  "functional": "PBE",
  "state": "optimized geometry",
  "lattice_angstrom": [[-3.840, -2.692, -3.929], [-0.410, -2.703, 2.253], [-3.164, 3.641, 3.791]],
  "species": ["I", "I", "Cr", "Cr", "Fe", "Fe"],
  "fractional_positions": [[0.272, 0.000, 0.882], [0.272, 0.500, 0.382], [0.602, 0.000, 0.326], [0.602, 0.500, 0.826], [0.807, 0.000, 0.727], [0.807, 0.500, 0.227]],
  "m_tot_mub_per_atom": 0.07,
  "space_group": "No. 160",
  "polymorph_energy_ev_per_atom": 0.5365,
  "formation_energy_uncorrected_ev_per_fu": 2.12
}

No. 11
{
  "formula": "CrTeBr2",
  "functional": "PBE",
  "state": "optimized geometry",
  "lattice_angstrom": [[3.614, 0.005, 0.000], [-1.955, 3.040, 0.000], [0.000, 0.000, 12.162]],
  "species": ["Br", "Br", "Cr", "Te"],
  "fractional_positions": [[0.000, 0.000, 0.104], [0.000, 0.000, 0.396], [0.500, 0.500, 0.250], [0.500, 0.500, 0.750]],
  "m_tot_mub_per_atom": 1.08,
  "space_group": "No. 65",
  "polymorph_energy_ev_per_atom": 0.1449,
  "formation_energy_uncorrected_ev_per_fu": -0.67
}

No. 12
{
  "formula": "Np2PtS2N2",
  "functional": "PBE",
  "state": "optimized geometry",
  "lattice_angstrom": [[3.676, 0.000, 0.000], [-1.838, 3.183, 0.000], [0.000, 0.000, 11.519]],
  "species": ["Np", "Np", "Pt", "S", "S", "N", "N"],
  "fractional_positions": [[0.667, 0.333, 0.198], [0.333, 0.667, 0.802], [0.000, 0.000, 0.000], [0.000, 0.000, 0.336], [0.000, 0.000, 0.664], [0.667, 0.333, 0.867], [0.333, 0.667, 0.133]],
  "m_tot_mub_per_atom": 0.58,
  "space_group": "No. 164",
  "formation_energy_uncorrected_ev_per_fu": -4.33
}

Q: What is the formula in the sixth record?
A: CsZnBr3